VASP calculation (PBE) on BaLi2Pt after structural relaxation.

```
data_BaLi2Pt
_chemical_formula_sum 'Ba2 Li4 Pt2'
_cell_length_a 7.8266
_cell_length_b 4.5234
_cell_length_c 6.1951
_cell_angle_alpha 90.00
_cell_angle_beta 114.98
_cell_angle_gamma 90.00
_space_group_name_H-M_alt 'C 1 m 1'
_space_group_IT_number 8
_space_group_name_Hall 'C -2y'
loop_
_atom_site_label
_atom_site_fract_x
_atom_site_fract_y
_atom_site_fract_z
Ba1 0.0000 0.0000 0.0000
Li1 0.0177 0.5000 0.5535
Li2 0.3156 0.5000 0.4468
Pt1 0.2009 0.0000 0.6032
```

The calculated density comes out at 5.78 g/cm³. The energy relative to the elements is -443.2 meV per atom. Its total energy is -3.39 eV per atom. The energy above the most stable polymorph in this dataset is 0.0 meV per atom.